# MgPdW

MgPdW after structural relaxation (PBE, Alexandria).

a = 3.321 Å, b = 6.846 Å, c = 6.846 Å
α = 39.71°, β = 90.00°, γ = 90.00°
Fractional coordinates of all 6 atoms:
Mg 0.000 0.000 0.000
Mg 0.000 0.324 0.324
Pd 0.500 0.165 0.165
Pd 0.500 0.833 0.833
W 0.000 0.655 0.655
W 0.500 0.511 0.511

Properties
E above lowest polymorph   0.121 eV per atom
E_form   0.00 eV/atom
Fermi-level density of states   0.6 states/eV/f.u.


# MgPdW

MgPdW after structural relaxation (PBE, Alexandria).

a = 4.436 Å, b = 4.436 Å, c = 5.744 Å
α = 90.00°, β = 90.00°, γ = 120.00°
Fractional coordinates of all 6 atoms:
Mg 0.000 0.000 0.000
Mg 0.333 0.667 0.684
Pd 0.333 0.667 0.178
Pd 0.667 0.333 0.829
W 0.000 0.000 0.485
W 0.667 0.333 0.346

Properties
E above lowest polymorph   0.163 eV per atom
E_form   0.04 eV/atom
Fermi-level density of states   1.6 states/eV/f.u.


# MgPdW

MgPdW after structural relaxation (PBE, Alexandria).

a = 3.761 Å, b = 3.761 Å, c = 7.312 Å
α = 90.00°, β = 90.00°, γ = 90.00°
Fractional coordinates of all 6 atoms:
Mg 0.250 0.250 0.163
Mg 0.750 0.750 0.837
Pd 0.250 0.250 0.792
Pd 0.750 0.750 0.208
W 0.250 0.750 0.500
W 0.750 0.250 0.500

Properties
E above lowest polymorph   0.154 eV per atom
E_form   0.03 eV/atom
Fermi-level density of states   1.7 states/eV/f.u.


# MgPdW

MgPdW after structural relaxation (PBE, Alexandria).

a = 4.521 Å, b = 4.521 Å, c = 5.648 Å
α = 90.00°, β = 90.00°, γ = 120.00°
Fractional coordinates of all 6 atoms:
Mg 0.000 0.000 0.000
Mg 0.000 0.000 0.500
Pd 0.333 0.667 0.250
Pd 0.667 0.333 0.750
W 0.333 0.667 0.750
W 0.667 0.333 0.250

Properties
E above lowest polymorph   0.515 eV per atom
E_form   0.39 eV/atom
Fermi-level density of states   1.4 states/eV/f.u.


# MgPd2W

MgPd2W after structural relaxation (PBE, Alexandria).

a = 4.487 Å, b = 4.487 Å, c = 4.487 Å
α = 60.00°, β = 60.00°, γ = 60.00°
Fractional coordinates of all 4 atoms:
Mg 0.000 0.000 0.000
Pd 0.250 0.250 0.250
Pd 0.750 0.750 0.750
W 0.500 0.500 0.500

Properties
E above lowest polymorph   0.000 eV per atom
E_form   0.02 eV/atom
Fermi-level density of states   2.5 states/eV/f.u.


# MgPdW

MgPdW after structural relaxation (PBE, Alexandria).

a = 4.859 Å, b = 4.859 Å, c = 9.665 Å
α = 90.00°, β = 90.00°, γ = 120.00°
Fractional coordinates of all 6 atoms:
Mg 0.333 0.667 0.250
Mg 0.667 0.333 0.750
Pd 0.000 0.000 0.000
Pd 0.000 0.000 0.500
W 0.000 0.000 0.250
W 0.000 0.000 0.750

Properties
E above lowest polymorph   2.334 eV per atom
E_form   2.21 eV/atom
Fermi-level density of states   3.0 states/eV/f.u.


# MgPdW

MgPdW after structural relaxation (PBE, Alexandria).

a = 4.636 Å, b = 4.636 Å, c = 5.198 Å
α = 90.00°, β = 90.00°, γ = 120.00°
Fractional coordinates of all 6 atoms:
Mg 0.333 0.667 0.250
Mg 0.667 0.333 0.750
Pd 0.333 0.667 0.750
Pd 0.667 0.333 0.250
W 0.000 0.000 0.000
W 0.000 0.000 0.500

Properties
E above lowest polymorph   0.282 eV per atom
E_form   0.16 eV/atom
Fermi-level density of states   2.6 states/eV/f.u.


# Mg3PdW

Mg3PdW after structural relaxation (PBE, Alexandria).

a = 4.842 Å, b = 4.842 Å, c = 4.842 Å
α = 90.00°, β = 90.00°, γ = 90.00°
Fractional coordinates of all 5 atoms:
Mg 0.000 0.000 0.500
Mg 0.000 0.500 0.000
Mg 0.500 0.000 0.000
Pd 0.000 0.000 0.000
W 0.500 0.500 0.500

Properties
E above lowest polymorph   0.000 eV per atom
E_form   0.85 eV/atom
Fermi-level density of states   4.2 states/eV/f.u.


# MgPdW

MgPdW after structural relaxation (PBE, Alexandria).

a = 2.778 Å, b = 5.122 Å, c = 7.024 Å
α = 90.92°, β = 98.56°, γ = 93.01°
Fractional coordinates of all 6 atoms:
Mg 0.000 0.000 0.000
Mg 0.100 0.321 0.340
Pd 0.377 0.114 0.678
Pd 0.529 0.510 0.026
W 0.605 0.811 0.373
W 0.914 0.594 0.679

Properties
E above lowest polymorph   0.167 eV per atom
E_form   0.05 eV/atom
Fermi-level density of states   1.6 states/eV/f.u.


# Mg2PdW

Mg2PdW after structural relaxation (PBE, Alexandria).

a = 5.826 Å, b = 5.826 Å, c = 5.826 Å
α = 102.69°, β = 102.69°, γ = 124.09°
Fractional coordinates of all 8 atoms:
Mg 0.099 0.625 0.974
Mg 0.375 0.349 0.474
Mg 0.651 0.125 0.026
Mg 0.875 0.901 0.526
Pd 0.000 0.000 0.000
Pd 0.750 0.250 0.500
W 0.250 0.750 0.500
W 0.500 0.500 0.000

Properties
E above lowest polymorph   0.247 eV per atom
E_form   0.65 eV/atom
Fermi-level density of states   3.6 states/eV/f.u.


# MgPdW2

MgPdW2 after structural relaxation (PBE, Alexandria).

a = 5.902 Å, b = 5.902 Å, c = 5.902 Å
α = 100.67°, β = 100.67°, γ = 129.02°
Fractional coordinates of all 8 atoms:
Mg 0.000 0.000 0.000
Mg 0.750 0.250 0.500
Pd 0.250 0.750 0.500
Pd 0.500 0.500 0.000
W 0.156 0.125 0.531
W 0.375 0.844 0.969
W 0.594 0.625 0.469
W 0.875 0.406 0.031

Properties
E above lowest polymorph   0.129 eV per atom
E_form   0.92 eV/atom
Fermi-level density of states   4.2 states/eV/f.u.


# MgPdW

MgPdW after structural relaxation (PBE, Alexandria).

a = 4.342 Å, b = 4.342 Å, c = 4.342 Å
α = 60.00°, β = 60.00°, γ = 60.00°
Fractional coordinates of all 3 atoms:
Mg 0.000 0.000 0.000
Pd 0.500 0.500 0.500
W 0.750 0.750 0.750

Properties
E above lowest polymorph   1.093 eV per atom
E_form   0.97 eV/atom
Fermi-level density of states   0.0 states/eV/f.u.


# Mg2PdW

Mg2PdW after structural relaxation (PBE, Alexandria).

a = 4.580 Å, b = 4.580 Å, c = 4.580 Å
α = 60.00°, β = 60.00°, γ = 60.00°
Fractional coordinates of all 4 atoms:
Mg 0.250 0.250 0.250
Mg 0.750 0.750 0.750
Pd 0.000 0.000 0.000
W 0.500 0.500 0.500

Properties
E above lowest polymorph   0.000 eV per atom
E_form   0.40 eV/atom
Fermi-level density of states   1.9 states/eV/f.u.


# Mg3PdW

Mg3PdW after structural relaxation (PBE, Alexandria).

a = 5.178 Å, b = 5.178 Å, c = 5.178 Å
α = 90.00°, β = 90.00°, γ = 90.00°
Fractional coordinates of all 5 atoms:
Mg 0.000 0.000 0.500
Mg 0.000 0.500 0.000
Mg 0.500 0.000 0.000
Pd 0.500 0.500 0.500
W 0.000 0.000 0.000

Properties
E above lowest polymorph   0.596 eV per atom
E_form   1.45 eV/atom
Fermi-level density of states   2.9 states/eV/f.u.


# MgPdW

MgPdW after structural relaxation (PBE, Alexandria).

a = 6.374 Å, b = 6.374 Å, c = 6.374 Å
α = 154.31°, β = 154.31°, γ = 36.65°
Fractional coordinates of all 3 atoms:
Mg 0.000 0.000 0.000
Pd 0.661 0.661 0.000
W 0.320 0.320 0.000

Properties
E above lowest polymorph   0.167 eV per atom
E_form   0.05 eV/atom
Fermi-level density of states   1.6 states/eV/f.u.


# MgPdW

MgPdW after structural relaxation (PBE, Alexandria).

a = 4.294 Å, b = 4.294 Å, c = 4.294 Å
α = 60.00°, β = 60.00°, γ = 60.00°
Fractional coordinates of all 3 atoms:
Mg 0.000 0.000 0.000
Pd 0.250 0.250 0.250
W 0.500 0.500 0.500

Properties
E above lowest polymorph   0.666 eV per atom
E_form   0.54 eV/atom
Fermi-level density of states   0.2 states/eV/f.u.


# Y4MgPd

Y4MgPd after structural relaxation (PBE, Alexandria).

a = 9.818 Å, b = 9.818 Å, c = 9.818 Å
α = 60.00°, β = 60.00°, γ = 60.00°
Fractional coordinates of all 24 atoms:
Y 0.061 0.061 0.439
Y 0.061 0.439 0.061
Y 0.061 0.439 0.439
Y 0.183 0.183 0.817
Y 0.183 0.817 0.183
Y 0.183 0.817 0.817
Y 0.198 0.601 0.601
Y 0.439 0.061 0.061
Y 0.439 0.061 0.439
Y 0.439 0.439 0.061
Y 0.601 0.198 0.601
Y 0.601 0.601 0.198
Y 0.601 0.601 0.601
Y 0.817 0.183 0.183
Y 0.817 0.183 0.817
Y 0.817 0.817 0.183
Mg 0.510 0.830 0.830
Mg 0.830 0.510 0.830
Mg 0.830 0.830 0.510
Mg 0.830 0.830 0.830
Pd 0.393 0.393 0.393
Pd 0.393 0.393 0.820
Pd 0.393 0.820 0.393
Pd 0.820 0.393 0.393

Properties
E above lowest polymorph   0.000 eV per atom
E_form   -0.37 eV/atom
Fermi-level density of states   7.1 states/eV/f.u.


# Y2Mg3Pd2

Y2Mg3Pd2 after structural relaxation (PBE, Alexandria).

a = 5.581 Å, b = 5.581 Å, c = 7.603 Å
α = 95.75°, β = 95.75°, γ = 42.14°
Fractional coordinates of all 7 atoms:
Y 0.124 0.124 0.358
Y 0.876 0.876 0.642
Mg 0.187 0.187 0.864
Mg 0.500 0.500 0.000
Mg 0.813 0.813 0.136
Pd 0.408 0.408 0.350
Pd 0.592 0.592 0.650

Properties
E above lowest polymorph   0.043 eV per atom
E_form   -0.55 eV/atom
Fermi-level density of states   3.8 states/eV/f.u.


# YMgPd

YMgPd after structural relaxation (PBE, Alexandria).

a = 7.484 Å, b = 7.484 Å, c = 4.063 Å
α = 90.00°, β = 90.00°, γ = 120.00°
Fractional coordinates of all 9 atoms:
Y 0.000 0.412 0.000
Y 0.412 0.000 0.000
Y 0.588 0.588 0.000
Mg 0.000 0.755 0.500
Mg 0.245 0.245 0.500
Mg 0.755 0.000 0.500
Pd 0.000 0.000 0.000
Pd 0.333 0.667 0.500
Pd 0.667 0.333 0.500

Properties
E_form   -0.69 eV/atom
Fermi-level density of states   2.2 states/eV/f.u.


# YMgPd

YMgPd after structural relaxation (PBE, Alexandria).

a = 4.646 Å, b = 4.646 Å, c = 3.556 Å
α = 90.00°, β = 90.00°, γ = 120.00°
Fractional coordinates of all 3 atoms:
Y 0.000 0.000 0.000
Mg 0.333 0.667 0.500
Pd 0.667 0.333 0.500

Properties
E_form   -0.50 eV/atom
Fermi-level density of states   2.4 states/eV/f.u.


# Y2MgPd

Y2MgPd after structural relaxation (PBE, Alexandria).

a = 6.623 Å, b = 6.623 Å, c = 6.623 Å
α = 102.90°, β = 102.90°, γ = 123.61°
Fractional coordinates of all 8 atoms:
Y 0.074 0.625 0.949
Y 0.375 0.324 0.449
Y 0.676 0.125 0.051
Y 0.875 0.926 0.551
Mg 0.250 0.750 0.500
Mg 0.500 0.500 0.000
Pd 0.000 0.000 0.000
Pd 0.750 0.250 0.500

Properties
E_form   -0.17 eV/atom
Fermi-level density of states   2.0 states/eV/f.u.


# Y2MgPd2

Y2MgPd2 after structural relaxation (PBE, Alexandria).

a = 8.197 Å, b = 8.197 Å, c = 8.197 Å
α = 151.81°, β = 151.81°, γ = 40.29°
Fractional coordinates of all 5 atoms:
Y 0.118 0.118 0.000
Y 0.882 0.882 0.000
Mg 0.500 0.500 0.000
Pd 0.250 0.750 0.500
Pd 0.750 0.250 0.500

Properties
E_form   -0.40 eV/atom
Fermi-level density of states   1.9 states/eV/f.u.


# Y2MgPd2

Y2MgPd2 after structural relaxation (PBE, Alexandria).

a = 7.703 Å, b = 7.703 Å, c = 3.804 Å
α = 90.00°, β = 90.00°, γ = 90.00°
Fractional coordinates of all 10 atoms:
Y 0.168 0.332 0.000
Y 0.332 0.832 0.000
Y 0.668 0.168 0.000
Y 0.832 0.668 0.000
Mg 0.000 0.000 0.500
Mg 0.500 0.500 0.500
Pd 0.132 0.632 0.500
Pd 0.368 0.132 0.500
Pd 0.632 0.868 0.500
Pd 0.868 0.368 0.500

Properties
E_form   -0.77 eV/atom
Fermi-level density of states   3.4 states/eV/f.u.


# Y2MgPd

Y2MgPd after structural relaxation (PBE, Alexandria).

a = 3.643 Å, b = 3.643 Å, c = 7.373 Å
α = 90.00°, β = 90.00°, γ = 90.00°
Fractional coordinates of all 4 atoms:
Y 0.000 0.000 0.225
Y 0.000 0.000 0.775
Mg 0.500 0.500 0.500
Pd 0.500 0.500 0.000

Properties
E_form   -0.48 eV/atom
Fermi-level density of states   3.7 states/eV/f.u.


# Y3Mg2Pd2

Y3Mg2Pd2 after structural relaxation (PBE, Alexandria).

a = 11.217 Å, b = 11.217 Å, c = 3.675 Å
α = 90.00°, β = 90.00°, γ = 158.14°
Fractional coordinates of all 7 atoms:
Y 0.000 0.000 0.000
Y 0.174 0.826 0.000
Y 0.826 0.174 0.000
Mg 0.417 0.583 0.500
Mg 0.583 0.417 0.500
Pd 0.290 0.710 0.500
Pd 0.710 0.290 0.500

Properties
E_form   -0.52 eV/atom
Fermi-level density of states   5.5 states/eV/f.u.


# Y4Mg3Pd

Y4Mg3Pd after structural relaxation (PBE, Alexandria).

a = 3.703 Å, b = 3.703 Å, c = 15.032 Å
α = 90.00°, β = 90.00°, γ = 90.00°
Fractional coordinates of all 8 atoms:
Y 0.000 0.000 0.109
Y 0.000 0.000 0.370
Y 0.000 0.000 0.630
Y 0.000 0.000 0.891
Mg 0.500 0.500 0.242
Mg 0.500 0.500 0.500
Mg 0.500 0.500 0.758
Pd 0.500 0.500 0.000

Properties
E_form   -0.29 eV/atom
Fermi-level density of states   9.3 states/eV/f.u.


no.,total moment (Bohr magnetons per cell)
1,0.0
2,0.0
3,0.0
4,0.0
5,0.0
6,5.8
7,0.0
8,3.5
9,0.0
10,0.0
11,0.0
12,0.0
13,2.3
14,2.9
15,0.0
16,0.0
17,0.0
18,0.0
19,0.0
20,0.0
21,0.0
22,0.0
23,0.0
24,0.0
25,0.3
26,0.0